Ac3Ga5Te12 | Alexandria | GGA-PBE | relaxed; symmetry = Ia-3d (230); ΔE_f (raw) = -730 meV/atom; V = 34.76 A^3/atom
1.0
-12.948 2.685 -7.782
1.597 -15.098 2.216
-0.620 7.125 13.575
Ac Ga Te
12 20 48
Direct
0.750 0.375 0.125 Ac
0.875 0.750 0.125 Ac
0.375 0.750 0.625 Ac
0.250 0.125 0.375 Ac
0.875 0.125 0.250 Ac
0.375 0.625 0.250 Ac
0.625 0.375 0.750 Ac
0.125 0.875 0.750 Ac
0.750 0.875 0.625 Ac
0.625 0.250 0.375 Ac
0.125 0.250 0.875 Ac
0.250 0.625 0.875 Ac
0.125 0.375 0.250 Ga
0.000 0.500 0.000 Ga
0.000 0.000 0.000 Ga
0.375 0.250 0.125 Ga
0.500 0.000 0.500 Ga
0.500 0.500 0.000 Ga
0.125 0.750 0.375 Ga
0.750 0.125 0.875 Ga
0.750 0.625 0.375 Ga
0.375 0.125 0.750 Ga
0.625 0.875 0.250 Ga
0.500 0.500 0.500 Ga
0.500 0.000 0.000 Ga
0.000 0.000 0.500 Ga
0.250 0.375 0.625 Ga
0.250 0.875 0.125 Ga
0.000 0.500 0.500 Ga
0.875 0.250 0.625 Ga
0.625 0.750 0.875 Ga
0.875 0.625 0.750 Ga
0.705 0.119 0.028 Te
0.323 0.528 0.409 Te
0.972 0.381 0.295 Te
0.528 0.205 0.119 Te
0.586 0.705 0.677 Te
0.972 0.591 0.177 Te
0.323 0.795 0.414 Te
0.091 0.914 0.119 Te
0.591 0.972 0.677 Te
0.705 0.586 0.177 Te
0.795 0.472 0.381 Te
0.823 0.909 0.028 Te
0.119 0.705 0.528 Te
0.381 0.409 0.086 Te
0.086 0.909 0.381 Te
0.414 0.119 0.591 Te
0.086 0.177 0.205 Te
0.472 0.677 0.091 Te
0.823 0.914 0.295 Te
0.119 0.414 0.091 Te
0.381 0.972 0.795 Te
0.591 0.619 0.414 Te
0.909 0.823 0.528 Te
0.795 0.323 0.914 Te
0.409 0.381 0.586 Te
0.091 0.177 0.472 Te
0.205 0.677 0.086 Te
0.177 0.086 0.705 Te
0.619 0.028 0.205 Te
0.881 0.586 0.909 Te
0.528 0.323 0.909 Te
0.586 0.881 0.409 Te
0.914 0.823 0.795 Te
0.914 0.091 0.619 Te
0.881 0.295 0.472 Te
0.177 0.091 0.972 Te
0.619 0.591 0.914 Te
0.409 0.028 0.323 Te
0.295 0.414 0.823 Te
0.205 0.528 0.619 Te
0.909 0.086 0.881 Te
0.677 0.205 0.586 Te
0.472 0.795 0.881 Te
0.028 0.409 0.823 Te
0.414 0.295 0.323 Te
0.028 0.619 0.705 Te
0.677 0.472 0.591 Te
0.295 0.881 0.972 Te

=====

AcGa2Te | Alexandria | GGA-PBE | relaxed; symmetry = R-3m (166); ΔE_f (raw) = -347 meV/atom; V = 27.95 A^3/atom; ΔE to the lowest computed polymorph = 232.1 meV per atom
1.0
5.009 0.000 0.000
2.505 4.338 0.000
2.505 1.446 5.144
Ac Te Ga
1 1 2
Direct
0.500 0.500 0.500 Ac
0.000 0.000 0.000 Te
0.718 0.718 0.845 Ga
0.282 0.282 0.155 Ga

=====

AcGa2Te | Alexandria | GGA-PBE | relaxed; symmetry = P4/mmm (123); ΔE_f (raw) = -579 meV/atom; V = 27.19 A^3/atom; ΔE to the lowest computed polymorph = 0.0 meV per atom
1.0
4.750 0.000 0.000
0.000 4.785 0.000
0.000 0.000 4.785
Ac Te Ga
1 1 2
Direct
0.500 0.500 0.500 Ac
0.500 0.000 0.000 Te
0.000 0.000 0.500 Ga
0.000 0.500 0.000 Ga

=====

Ac2GaTe | Alexandria | GGA-PBE | relaxed; symmetry = Cmcm (63); ΔE_f (raw) = -994 meV/atom; V = 34.90 A^3/atom; ΔE to the lowest computed polymorph = 0.0 meV per atom
1.0
4.556 0.000 0.000
0.000 4.735 -0.841
0.000 -0.139 12.968
Ac Ga Te
4 2 2
Direct
0.750 0.674 0.347 Ac
0.250 0.326 0.653 Ac
0.750 0.938 0.876 Ac
0.250 0.062 0.124 Ac
0.250 0.466 0.931 Ga
0.750 0.534 0.069 Ga
0.250 0.194 0.387 Te
0.750 0.806 0.613 Te

=====

Ac2Ga2Te | Alexandria | GGA-PBE | relaxed; symmetry = R-3m (166); ΔE_f (raw) = -1028 meV/atom; V = 30.99 A^3/atom
1.0
-2.274 3.171 2.219
-1.641 -4.170 -0.262
6.349 -2.881 6.078
Ac Ga Te
2 2 1
Direct
0.831 0.415 0.246 Ac
0.169 0.585 0.754 Ac
0.355 0.177 0.532 Ga
0.645 0.823 0.468 Ga
0.000 0.000 0.000 Te

=====

Ac2GaTe | Alexandria | GGA-PBE | relaxed; symmetry = P4/mmm (123); ΔE_f (raw) = -863 meV/atom; V = 32.54 A^3/atom; ΔE to the lowest computed polymorph = 130.5 meV per atom
1.0
-3.387 0.813 -1.786
-1.532 -3.323 1.392
-2.662 4.129 6.927
Ac Te Ga
2 1 1
Direct
0.000 0.000 0.759 Ac
0.000 0.000 0.241 Ac
0.500 0.500 0.500 Te
0.500 0.500 0.000 Ga

=====

AcTl2GaTe4 | Alexandria | GGA-PBE | relaxed; symmetry = Imma (74); ΔE_f (raw) = -582 meV/atom; V = 35.84 A^3/atom
1.0
-0.838 3.953 8.445
-5.944 -6.813 2.430
8.691 -2.046 -3.716
Ac Tl Ga Te
2 4 2 8
Direct
0.000 0.500 0.000 Ac
0.000 0.500 0.500 Ac
0.500 0.000 0.000 Tl
0.500 0.000 0.500 Tl
0.000 0.000 0.500 Tl
0.500 0.500 0.000 Tl
0.500 0.500 0.500 Ga
0.000 0.000 0.000 Ga
0.231 0.763 0.997 Te
0.737 0.269 0.503 Te
0.263 0.731 0.497 Te
0.769 0.237 0.003 Te
0.751 0.750 0.957 Te
0.750 0.749 0.543 Te
0.250 0.251 0.457 Te
0.249 0.250 0.043 Te

=====

AcThGa3 | Alexandria | GGA-PBE | relaxed; ΔH_f (0 K) = -577.0 meV/atom; symmetry = Cmcm (63); V = 26.07 A^3/atom
1.0
-2.556 2.382 2.493
2.599 -0.988 3.608
6.243 11.203 -4.305
Ac Th Ga
2 2 6
Direct
0.250 0.074 0.148 Ac
0.750 0.926 0.852 Ac
0.250 0.795 0.591 Th
0.750 0.205 0.409 Th
0.250 0.379 0.758 Ga
0.750 0.621 0.242 Ga
0.250 0.476 0.952 Ga
0.750 0.524 0.048 Ga
0.750 0.322 0.645 Ga
0.250 0.678 0.355 Ga

=====

AcThGa2 | Alexandria | GGA-PBE | relaxed; ΔH_f (0 K) = -222.4 meV/atom; symmetry = R-3m (166); V = 30.28 A^3/atom
1.0
3.922 0.000 0.000
1.961 3.397 0.000
1.961 1.132 9.092
Ac Ga Th
1 2 1
Direct
0.500 0.500 0.500 Ac
0.746 0.746 0.762 Ga
0.254 0.254 0.238 Ga
0.000 0.000 0.000 Th

=====

AcThGa2 | Alexandria | GGA-PBE | relaxed; ΔH_f (0 K) = -460.4 meV/atom; symmetry = Pmc2_1 (26); V = 28.13 A^3/atom
1.0
4.240 0.000 0.000
0.000 6.248 0.000
0.000 0.000 8.495
Ac Th Ga
2 2 4
Direct
0.500 0.371 0.323 Ac
0.500 0.629 0.823 Ac
0.000 0.134 0.680 Th
0.000 0.866 0.180 Th
0.000 0.648 0.531 Ga
0.000 0.352 0.031 Ga
0.500 0.890 0.465 Ga
0.500 0.110 0.965 Ga

=====

AcThGa4 | Alexandria | GGA-PBE | relaxed; ΔH_f (0 K) = -616.1 meV/atom; symmetry = I-4m2 (119); V = 24.13 A^3/atom; ΔE to the lowest computed polymorph = 0.0 meV per atom
1.0
4.183 0.000 -1.292
-0.399 4.164 -1.292
0.227 0.250 8.155
Ac Th Ga
1 1 4
Direct
0.250 0.750 0.500 Ac
0.000 0.000 0.000 Th
0.664 0.164 0.329 Ga
0.581 0.581 0.161 Ga
0.836 0.336 0.671 Ga
0.419 0.419 0.839 Ga

=====

AcThGa4 | Alexandria | GGA-PBE | relaxed; ΔH_f (0 K) = -416.2 meV/atom; symmetry = F-43m (216); V = 22.72 A^3/atom; ΔE to the lowest computed polymorph = 199.8 meV per atom
1.0
-3.104 -3.680 3.194
-0.370 -5.557 -1.537
2.661 -4.050 3.145
Ac Ga Th
1 4 1
Direct
0.250 0.250 0.250 Ac
0.626 0.626 0.123 Ga
0.626 0.123 0.626 Ga
0.626 0.626 0.626 Ga
0.123 0.626 0.626 Ga
0.000 0.000 0.000 Th